Record 1
Tc2P PBE optimized geometry; ΔE_f = -0.395 eV per atom; energy relative to the lowest polymorph listed for this composition = 43 meV/atom
1.0
5.262 0.003 -0.005
4.435 2.830 -0.005
0.618 0.181 5.596
P Tc
2 4
Direct
0.290 0.290 0.404
0.015 0.015 0.952
0.314 0.314 0.987
0.675 0.675 0.692
0.946 0.946 0.582
0.594 0.594 0.216

Record 2
Pm2BeCd PBE optimized geometry; ΔE_f = 0.633 eV per atom; energy relative to the lowest polymorph listed for this composition = 716 meV/atom
1.0
-0.907 -2.504 -2.102
-2.199 -2.369 1.032
-9.591 4.664 -4.154
Cd Pm Be
1 2 1
Direct
0.500 0.500 0.500
0.088 0.088 0.735
0.912 0.912 0.265
0.000 0.000 0.000

Record 3
Sr2TlHg PBE optimized geometry; ΔE_f = -0.332 eV per atom
1.0
-3.755 -1.461 -1.568
-0.837 -4.241 -0.004
-5.379 -1.149 7.994
Tl Sr Hg
1 2 1
Direct
0.501 0.501 0.498
0.254 0.254 0.239
0.080 0.080 0.760
0.666 0.666 0.002

Record 4
MgTa2W PBE optimized geometry; ΔE_f = 0.233 eV per atom
1.0
-1.233 -4.247 1.635
0.931 -1.169 -2.335
5.225 -0.936 1.510
Ta Mg W
2 1 1
Direct
0.500 0.274 0.256
0.000 0.991 0.008
0.500 0.732 0.746
0.000 0.502 0.489

Record 5
AlRh2Au PBE optimized geometry; ΔE_f = 0.046 eV per atom
1.0
3.789 0.000 0.000
0.000 3.789 0.000
1.894 1.894 9.204
Rh Au Al
4 2 2
Direct
0.138 0.625 0.250
0.375 0.388 0.750
0.875 0.862 0.750
0.612 0.125 0.250
0.000 0.000 0.000
0.750 0.250 0.500
0.500 0.500 0.000
0.250 0.750 0.500

Record 6
Tb2Pr6DyY PBE optimized geometry; ΔE_f = 0.113 eV per atom
1.0
-5.299 -5.052 6.463
3.238 -7.390 -4.074
5.106 3.953 6.324
Y Pr Tb Dy
2 12 4 2
Direct
0.750 0.026 0.974
0.250 0.974 0.026
0.882 0.292 0.506
0.811 0.435 0.989
0.118 0.708 0.494
0.311 0.989 0.435
0.553 0.761 0.118
0.053 0.118 0.761
0.382 0.506 0.292
0.189 0.565 0.011
0.947 0.882 0.239
0.618 0.494 0.708
0.447 0.239 0.882
0.689 0.011 0.565
0.045 0.298 0.198
0.955 0.702 0.802
0.545 0.198 0.298
0.455 0.802 0.702
0.750 0.589 0.411
0.250 0.411 0.589

Record 7
Zr2TlZnH PBE optimized geometry; DFT total energy = -4.98 eV/atom
1.0
-1.373 1.070 4.016
-4.136 -0.766 -1.210
0.411 -4.209 1.262
Zn H Zr Tl
1 1 2 1
Direct
0.000 0.000 0.500
0.000 0.000 0.000
0.500 0.000 0.000
0.000 0.500 0.000
0.500 0.500 0.500

Record 8
LuBe4Ir PBE optimized geometry; ΔE_f = -0.482 eV per atom
1.0
-1.407 1.579 4.093
-4.492 0.066 1.023
-1.691 -2.919 3.137
Ir Lu Be
1 1 4
Direct
0.000 0.000 0.000
0.250 0.250 0.250
0.627 0.118 0.627
0.118 0.627 0.627
0.627 0.627 0.118
0.627 0.627 0.627

Record 9
BaH3Rh PBE optimized geometry; DFT total energy = -3.77 eV/atom
1.0
-0.744 -0.292 -3.131
1.181 -3.008 0.000
-5.229 -2.052 1.434
Ba H Rh
1 3 1
Direct
0.000 0.000 0.104
0.000 0.500 0.455
0.000 0.000 0.665
0.500 0.000 0.455
0.500 0.500 0.584

Record 10
ZnPt2Rh PBE optimized geometry; ΔE_f = 0.064 eV per atom
1.0
-3.559 -0.327 -1.225
0.996 -2.980 -2.098
-3.176 -7.202 5.321
Rh Pt Zn
2 4 2
Direct
0.000 0.000 0.000
0.750 0.250 0.500
0.122 0.625 0.250
0.628 0.125 0.250
0.375 0.372 0.750
0.875 0.878 0.750
0.250 0.750 0.500
0.500 0.500 0.000

Record 11
La5RuPb2 PBE optimized geometry; ΔE_f = -0.525 eV per atom
1.0
4.835 0.000 0.000
0.000 8.416 0.000
0.000 0.000 12.745
Pb Ru La
4 2 10
Direct
0.500 0.585 0.172
0.500 0.415 0.828
0.500 0.085 0.328
0.500 0.915 0.672
0.000 0.500 0.500
0.000 0.000 0.000
0.000 0.375 0.303
0.000 0.625 0.697
0.000 0.125 0.803
0.500 0.189 0.065
0.500 0.689 0.435
0.000 0.875 0.197
0.500 0.311 0.565
0.000 0.500 0.000
0.500 0.811 0.935
0.000 0.000 0.500

Record 12
KYRe PBE optimized geometry; ΔE_f = 0.966 eV per atom; energy relative to the lowest polymorph listed for this composition = 3 meV/atom
1.0
-1.034 -1.964 -8.255
-1.421 -6.002 -5.919
-1.079 4.324 7.295
Re K Y
1 1 1
Direct
0.315 0.315 0.000
0.974 0.974 0.000
0.711 0.711 0.000

Size of the total moment? In order: 0.00; 0.00; 0.00; 0.00; 0.00; 0.00; 0.00; 0.00; 0.00; 0.00; 0.00; 1.22 μB/cell.